Computed, not measured: a relaxed structure of SmTiPt at the PBE-GGA level of DFT.

Unit cell a=4.352 b=4.352 c=7.635 alpha=106.56 beta=106.56 gamma=89.94
Fractional coordinates of all 6 atoms:
1 Sm 0.179 0.179 0.357
2 Sm 0.821 0.821 0.643
3 Ti 0.000 0.500 0.000
4 Ti 0.500 0.000 0.000
5 Pt 0.387 0.387 0.776
6 Pt 0.613 0.613 0.224

Theoretical density in Mg/m³: 9.87
ΔE_f in eV per atom: -0.73

Computed, not measured: a relaxed structure of Ba2RuCl at the PBE-GGA level of DFT.

Unit cell a=8.935 b=8.935 c=8.935 alpha=27.43 beta=27.43 gamma=27.43
Fractional coordinates of all 4 atoms:
1 Ba 0.244 0.244 0.244
2 Ba 0.756 0.756 0.756
3 Ru 0.500 0.500 0.500
4 Cl 0.000 0.000 0.000

Theoretical density in Mg/m³: 5.11
Uncorrected formation energy in eV/atom: -0.46
Offset from the most stable computed form in meV/atom: 66.0

Computed, not measured: a relaxed structure of YNiSe at the PBE-GGA level of DFT.

Unit cell a=4.947 b=4.947 c=4.947 alpha=134.82 beta=134.82 gamma=65.80
Fractional coordinates of all 3 atoms:
1 Y 0.000 0.000 0.000
2 Ni 0.353 0.353 0.000
3 Se 0.645 0.645 0.000

Theoretical density in Mg/m³: 6.27
Uncorrected formation energy in eV/atom: -0.65
Offset from the most stable computed form in meV/atom: 402.3

Computed, not measured: a relaxed structure of NdEr6Tl at the PBE-GGA level of DFT.

Unit cell a=6.630 b=6.630 c=6.564 alpha=90.05 beta=90.05 gamma=121.45
Fractional coordinates of all 8 atoms:
1 Nd 0.000 0.000 0.000
2 Er 0.024 0.586 0.747
3 Er 0.414 0.976 0.253
4 Er 0.447 0.447 0.747
5 Er 0.553 0.553 0.253
6 Er 0.586 0.024 0.747
7 Er 0.976 0.414 0.253
8 Tl 0.000 0.000 0.500

Theoretical density in Mg/m³: 9.12
Offset from the most stable computed form in meV/atom: 147.8
ΔE_f in eV per atom: 0.13